Below is a relaxed structure of KCa3Sb, with properties calculated at the PBE level.

Values from the calculation:
E = -7.13 eV per formula unit
Density of states at the Fermi level = 4.356 states/eV/cell
Density = 2.2 g/cm³

Cell and atoms, written as POSCAR:
```
KCa3Sb
1.0
5.974 0.000 0.000
0.000 5.974 0.000
0.000 0.000 5.974
K Sb Ca
1 1 3
Direct
0.000 0.000 0.000
0.500 0.500 0.500
0.000 0.500 0.000
0.000 0.000 0.500
0.500 0.000 0.000
```



Below is a relaxed structure of Ti3Si2, with properties calculated at the PBE level.

Values from the calculation:
E = -37.60 eV per formula unit
Density of states at the Fermi level = 4.593 states/eV/cell
Density = 4.3 g/cm³

Cell and atoms, written as POSCAR:
```
Ti3Si2
1.0
3.807 0.000 0.000
1.904 4.594 -0.079
1.904 1.275 4.414
Ti Si
3 2
Direct
0.000 0.000 0.000
0.798 0.702 0.702
0.202 0.298 0.298
0.500 0.710 0.290
0.500 0.290 0.710
```



Below is a relaxed structure of GeH, with properties calculated at the PBE level.

Values from the calculation:
E = -7.57 eV per formula unit
Density of states at the Fermi level = 0.189 states/eV/cell
Density = 4.6 g/cm³

Cell and atoms, written as POSCAR:
```
GeH
1.0
4.226 0.000 0.003
0.000 6.014 0.000
-4.177 0.000 4.225
H Ge
4 4
Direct
0.507 0.497 0.939
0.493 0.497 0.061
0.507 0.997 0.439
0.493 0.997 0.561
0.500 0.495 0.500
0.000 0.745 0.500
0.000 0.245 0.000
0.500 0.995 0.000
```



Below is a relaxed structure of Zn2InPt8, with properties calculated at the PBE level.

Values from the calculation:
Density of states at the Fermi level = 7.675 states/eV/cell
Density = 17.3 g/cm³
Calculated formation energy = -324 meV per atom

Cell and atoms, written as POSCAR:
```
Zn2InPt8
1.0
0.401 2.150 -3.378
1.956 -5.163 -3.054
-7.268 -0.892 0.967
Pt Zn In
8 2 1
Direct
0.855 0.797 0.711
0.597 0.463 0.195
0.682 0.920 0.364
0.145 0.203 0.289
0.403 0.537 0.805
0.318 0.080 0.636
0.953 0.278 0.905
0.047 0.722 0.095
0.226 0.645 0.451
0.774 0.355 0.549
0.500 0.000 0.000
```



Below is a relaxed structure of Zn2GaIr2, with properties calculated at the PBE level.

Values from the calculation:
Density of states at the Fermi level = 3.793 states/eV/cell
Density = 13.0 g/cm³
Calculated formation energy = 7 meV per atom

Cell and atoms, written as POSCAR:
```
Zn2GaIr2
1.0
7.138 0.000 0.000
0.000 7.138 0.000
0.000 0.000 2.927
Zn Ga Ir
4 2 4
Direct
0.877 0.623 0.000
0.623 0.123 0.000
0.377 0.877 0.000
0.123 0.377 0.000
0.500 0.500 0.000
0.000 0.000 0.000
0.176 0.676 0.500
0.676 0.824 0.500
0.824 0.324 0.500
0.324 0.176 0.500
```



Below is a relaxed structure of RbFe2Au, with properties calculated at the PBE level.

Values from the calculation:
Density of states at the Fermi level = 1.118 states/eV/cell
Density = 8.3 g/cm³
Calculated formation energy = 1170 meV per atom

Cell and atoms, written as POSCAR:
```
RbFe2Au
1.0
0.000 3.404 3.404
3.404 0.000 3.404
3.404 3.404 0.000
Rb Fe Au
1 2 1
Direct
0.000 0.000 0.000
0.250 0.250 0.250
0.750 0.750 0.750
0.500 0.500 0.500
```



Below is a relaxed structure of TbPmMgZn, with properties calculated at the PBE level.

Values from the calculation:
Density of states at the Fermi level = 4.532 states/eV/cell
Density = 6.3 g/cm³
Calculated formation energy = -211 meV per atom

Cell and atoms, written as POSCAR:
```
TbPmMgZn
1.0
-1.481 1.605 2.932
1.310 -2.671 2.124
6.534 4.060 1.076
Mg Tb Zn Pm
1 1 1 1
Direct
0.500 0.500 0.115
0.000 0.000 0.383
0.500 0.500 0.596
0.000 0.000 0.833
```



Below is a relaxed structure of Pr6NdSm4, with properties calculated at the PBE level.

Values from the calculation:
Density of states at the Fermi level = 13.523 states/eV/cell
Density = 6.5 g/cm³
Calculated formation energy = 339 meV per atom

Cell and atoms, written as POSCAR:
```
Pr6NdSm4
1.0
-7.325 0.406 2.382
-0.052 -7.628 1.141
5.834 4.559 4.674
Sm Pr Nd
4 6 1
Direct
0.912 0.912 0.161
0.248 0.248 0.161
0.752 0.088 0.839
0.088 0.752 0.839
0.917 0.460 0.377
0.460 0.917 0.377
0.540 0.540 0.623
0.000 0.500 0.000
0.083 0.083 0.623
0.500 0.000 0.000
0.500 0.500 0.000
```



Below is a relaxed structure of P2WCl, with properties calculated at the PBE level.

Values from the calculation:
E = -22.13 eV per formula unit
Density of states at the Fermi level = 4.477 states/eV/cell
Density = 7.6 g/cm³

Cell and atoms, written as POSCAR:
```
P2WCl
1.0
0.749 -4.361 0.108
0.016 -2.148 3.871
-3.291 -2.787 0.999
W P Cl
1 2 1
Direct
0.500 0.500 0.500
0.750 0.750 0.750
0.250 0.250 0.250
0.000 0.000 0.000
```



Below is a relaxed structure of SrPu2Si6, with properties calculated at the PBE level.

Values from the calculation:
E = -66.17 eV per formula unit
Density of states at the Fermi level = 19.649 states/eV/cell
Density = 6.9 g/cm³

Cell and atoms, written as POSCAR:
```
SrPu2Si6
1.0
-1.867 -1.331 3.397
-5.298 -2.579 -3.922
5.603 -4.061 1.489
Si Pu Sr
6 2 1
Direct
0.500 0.337 0.337
0.500 0.000 0.663
0.500 0.663 0.000
0.500 0.663 0.663
0.500 0.000 0.337
0.500 0.337 0.000
0.000 0.667 0.333
0.000 0.333 0.667
0.000 0.000 0.000
```



Below is a relaxed structure of Dy2MnAl3Pt4, with properties calculated at the PBE level.

Values from the calculation:
Density of states at the Fermi level = 7.142 states/eV/cell
Density = 11.2 g/cm³
Calculated formation energy = -983 meV per atom

Cell and atoms, written as POSCAR:
```
Dy2MnAl3Pt4
1.0
-1.642 3.125 2.067
-3.572 -1.987 0.166
3.042 -4.675 9.482
Pt Al Mn Dy
4 3 1 2
Direct
0.500 0.000 0.645
0.000 0.500 0.355
0.500 0.500 0.000
0.000 0.000 0.000
0.000 0.500 0.131
0.000 0.000 0.500
0.500 0.000 0.869
0.500 0.500 0.500
0.000 0.500 0.747
0.500 0.000 0.253
```



Below is a relaxed structure of Li4Tl2Rh, with properties calculated at the PBE level.

Values from the calculation:
Density of states at the Fermi level = 6.686 states/eV/cell
Density = 7.3 g/cm³
Calculated formation energy = -4 meV per atom

Cell and atoms, written as POSCAR:
```
Li4Tl2Rh
1.0
-8.639 -2.110 -1.871
0.800 -4.914 1.850
-1.777 3.980 3.718
Li Rh Tl
8 2 4
Direct
0.250 0.999 0.500
0.750 0.001 0.500
0.250 0.499 0.500
0.750 0.249 0.000
0.250 0.751 0.000
0.750 0.501 0.500
0.750 0.749 0.000
0.250 0.251 0.000
0.500 0.500 0.000
0.000 0.000 0.000
0.500 0.848 0.695
0.000 0.652 0.305
0.500 0.152 0.305
0.000 0.348 0.695
```



Below is a relaxed structure of CaHg, with properties calculated at the PBE level.

Values from the calculation:
Density of states at the Fermi level = 4.221 states/eV/cell
Density = 6.7 g/cm³
Calculated formation energy = -457 meV per atom

Cell and atoms, written as POSCAR:
```
CaHg
1.0
6.128 -0.046 0.020
4.841 3.757 0.020
3.357 1.136 7.667
Hg Ca
3 3
Direct
0.702 0.702 0.683
0.972 0.972 0.387
0.762 0.762 0.045
0.253 0.253 0.353
0.420 0.420 0.708
0.057 0.057 0.991
```



Below is a relaxed structure of LaCe2Ho, with properties calculated at the PBE level.

Values from the calculation:
Density of states at the Fermi level = 10.322 states/eV/cell
Density = 7.8 g/cm³
Calculated formation energy = 109 meV per atom

Cell and atoms, written as POSCAR:
```
LaCe2Ho
1.0
-1.286 -0.455 -3.225
-1.453 -3.059 -0.890
-11.318 2.726 2.228
Ho Ce La
1 2 1
Direct
0.668 0.668 0.996
0.252 0.252 0.244
0.082 0.082 0.754
0.498 0.498 0.506
```



Below is a relaxed structure of CaAcNbO5, with properties calculated at the PBE level.

Values from the calculation:
E = -64.15 eV per formula unit
Density of states at the Fermi level = 0.000 states/eV/cell
Density = 5.0 g/cm³

Cell and atoms, written as POSCAR:
```
CaAcNbO5
1.0
-1.567 3.720 4.708
-3.942 -4.786 -0.124
6.713 -3.761 3.320
O Ac Ca Nb
10 2 2 2
Direct
0.358 0.955 0.671
0.575 0.707 0.918
0.642 0.045 0.329
0.293 0.425 0.582
0.955 0.358 0.171
0.425 0.293 0.082
0.883 0.117 0.750
0.117 0.883 0.250
0.045 0.642 0.829
0.707 0.575 0.418
0.000 0.000 0.500
0.000 0.000 0.000
0.667 0.333 0.750
0.333 0.667 0.250
0.320 0.680 0.750
0.680 0.320 0.250
```



Below is a relaxed structure of CrNi4Ru, with properties calculated at the PBE level.

Values from the calculation:
Density of states at the Fermi level = 7.785 states/eV/cell
Density = 9.3 g/cm³
Calculated formation energy = 27 meV per atom

Cell and atoms, written as POSCAR:
```
CrNi4Ru
1.0
4.302 -0.009 0.791
-2.298 3.638 0.782
-0.017 -0.020 4.417
Cr Ni Ru
1 4 1
Direct
0.998 0.503 0.501
0.666 0.835 0.501
0.164 0.337 0.001
0.330 0.170 0.501
0.832 0.669 0.001
0.498 0.003 0.001
```



Below is a relaxed structure of La4ReRu, with properties calculated at the PBE level.

Values from the calculation:
Density of states at the Fermi level = 9.449 states/eV/cell
Density = 8.9 g/cm³
Calculated formation energy = 1212 meV per atom

Cell and atoms, written as POSCAR:
```
La4ReRu
1.0
0.851 -0.959 5.913
0.406 4.692 3.798
-4.471 1.115 3.920
La Re Ru
4 1 1
Direct
0.874 0.375 0.375
0.375 0.375 0.874
0.375 0.375 0.375
0.375 0.874 0.375
0.750 0.750 0.750
0.000 0.000 0.000
```



Below is a relaxed structure of PmCoNiGe2, with properties calculated at the PBE level.

Values from the calculation:
Density of states at the Fermi level = 2.519 states/eV/cell
Density = 8.1 g/cm³
Calculated formation energy = -641 meV per atom

Cell and atoms, written as POSCAR:
```
PmCoNiGe2
1.0
-2.284 0.100 3.376
-3.377 -0.103 -2.282
2.867 -5.033 -0.374
Pm Co Ge Ni
1 1 2 1
Direct
0.000 0.000 0.000
0.750 0.250 0.500
0.370 0.370 0.740
0.630 0.630 0.260
0.250 0.750 0.500
```



Below is a relaxed structure of LiNdIr, with properties calculated at the PBE level.

Values from the calculation:
Density of states at the Fermi level = 4.904 states/eV/cell
Density = 9.3 g/cm³
Calculated formation energy = -415 meV per atom

Cell and atoms, written as POSCAR:
```
LiNdIr
1.0
-3.236 0.650 2.419
-3.147 -5.935 -2.616
4.251 -0.435 5.806
Ir Li Nd
3 3 3
Direct
0.500 0.000 0.000
0.000 0.667 0.333
0.000 0.333 0.667
0.000 0.767 0.767
0.000 0.233 0.000
0.000 0.000 0.233
0.500 0.593 0.000
0.500 0.407 0.407
0.500 0.000 0.593
```



Below is a relaxed structure of Ti7Sn2Mo, with properties calculated at the PBE level.

Values from the calculation:
Density of states at the Fermi level = 13.829 states/eV/cell
Density = 5.3 g/cm³
Calculated formation energy = 613 meV per atom

Cell and atoms, written as POSCAR:
```
Ti7Sn2Mo
1.0
-6.532 1.238 -0.064
-3.723 -2.052 -5.112
-4.334 -4.973 0.830
Ti Mo Sn
7 1 2
Direct
0.251 0.251 0.749
0.749 0.749 0.251
0.251 0.749 0.749
0.749 0.251 0.749
0.749 0.251 0.251
0.500 0.500 0.500
0.251 0.749 0.251
0.000 0.000 0.000
0.250 0.250 0.250
0.750 0.750 0.750
```



Below is a relaxed structure of GdMgInRu, with properties calculated at the PBE level.

Values from the calculation:
Density of states at the Fermi level = 4.479 states/eV/cell
Density = 8.1 g/cm³
Calculated formation energy = -125 meV per atom

Cell and atoms, written as POSCAR:
```
GdMgInRu
1.0
-3.799 0.978 2.884
-3.903 -2.911 -0.044
-0.950 -2.856 3.827
Gd Mg Ru In
1 1 1 1
Direct
0.500 0.500 0.500
0.250 0.250 0.250
0.750 0.750 0.750
0.000 0.000 0.000
```



Below is a relaxed structure of AcGe3P4N12, with properties calculated at the PBE level.

Values from the calculation:
E = -140.55 eV per formula unit
Density of states at the Fermi level = 7.680 states/eV/cell
Density = 5.2 g/cm³

Cell and atoms, written as POSCAR:
```
AcGe3P4N12
1.0
6.451 -0.040 -0.056
-1.593 6.251 -0.056
-1.593 -2.037 5.910
Ge N Ac P
3 12 1 4
Direct
0.559 0.441 0.000
0.000 0.559 0.441
0.441 0.000 0.559
0.376 0.976 0.241
0.759 0.024 0.624
0.093 0.907 0.500
0.907 0.500 0.093
0.500 0.344 0.656
0.656 0.500 0.344
0.344 0.656 0.500
0.500 0.093 0.907
0.624 0.759 0.024
0.976 0.241 0.376
0.241 0.376 0.976
0.024 0.624 0.759
0.000 0.000 0.000
0.063 0.500 0.937
0.500 0.937 0.063
0.500 0.500 0.500
0.937 0.063 0.500
```



Below is a relaxed structure of LiSm2Bi, with properties calculated at the PBE level.

Values from the calculation:
Density of states at the Fermi level = 6.523 states/eV/cell
Density = 7.7 g/cm³
Calculated formation energy = -423 meV per atom

Cell and atoms, written as POSCAR:
```
LiSm2Bi
1.0
6.972 0.000 0.000
3.486 5.698 -0.063
3.486 1.059 5.599
Sm Li Bi
4 2 2
Direct
0.273 0.727 0.227
0.727 0.273 0.773
0.227 0.273 0.773
0.773 0.727 0.227
0.750 0.209 0.291
0.250 0.791 0.709
0.250 0.211 0.289
0.750 0.789 0.711
```



Below is a relaxed structure of Al2MoRu, with properties calculated at the PBE level.

Values from the calculation:
Density of states at the Fermi level = 3.353 states/eV/cell
Density = 7.2 g/cm³
Calculated formation energy = -231 meV per atom

Cell and atoms, written as POSCAR:
```
Al2MoRu
1.0
-1.358 -3.782 -1.663
0.450 -3.670 2.291
-3.504 -1.972 1.659
Al Ru Mo
2 1 1
Direct
0.750 0.750 0.750
0.250 0.250 0.250
0.500 0.500 0.500
0.000 0.000 0.000
```



Below is a relaxed structure of Fe2CuCl, with properties calculated at the PBE level.

Values from the calculation:
E = -21.69 eV per formula unit
Density of states at the Fermi level = 1.648 states/eV/cell
Density = 5.0 g/cm³

Cell and atoms, written as POSCAR:
```
Fe2CuCl
1.0
-1.031 3.984 -0.287
-1.108 2.713 -2.904
-6.237 -0.776 0.561
Fe Cu Cl
2 1 1
Direct
0.788 0.788 0.819
0.060 0.060 0.994
0.321 0.321 0.163
0.331 0.331 0.525
```